Entry 1:
Material: HfZr2CoS
Method: DFT, PBE-GGA
State: relaxed

space group = P4/mmm, No. 123
D(E_F) = 1.37 states/eV/atom
calculated total energy = -39.58 eV per formula unit
crystal system = tetragonal

a b c (Å): 4.8828 4.8828 4.1052
angles (deg): 90.00 90.00 90.00
Closest atoms and distances in Å follow each position.
Positions (direct):
Hf1 0.0000 0.0000 0.0000  8 Zr 3.19, 4 Co 3.45
Zr1 0.0000 0.5000 0.5000  2 S 2.44
Zr2 0.5000 0.0000 0.5000  2 S 2.44
Co1 0.5000 0.5000 0.0000  2 S 2.05
S1 0.5000 0.5000 0.5000  2 Co 2.05

=====

Entry 2:
Material: Hf4CoSb
Method: DFT, PBE-GGA
State: relaxed

space group = P2_1/m, No. 11
D(E_F) = 0.76 states/eV/atom
calculated total energy = -53.04 eV per formula unit
crystal system = monoclinic

a b c (Å): 5.5956 6.0747 7.4683
angles (deg): 90.00 97.11 90.00
Closest atoms and distances in Å follow each position.
Positions (direct):
Hf1 0.1085 0.2500 0.0535  1 Co 2.44
Hf2 0.1363 0.7500 0.3470  1 Co 2.57
Hf3 0.3783 0.5040 0.7856  2 Co 2.48-2.52
Hf4 0.3783 0.9960 0.7856  2 Co 2.48-2.52
Hf5 0.6217 0.0040 0.2144  2 Co 2.48-2.52
Hf6 0.6217 0.4960 0.2144  2 Co 2.48-2.52
Hf7 0.8637 0.2500 0.6530  1 Co 2.57
Hf8 0.8915 0.7500 0.9465  1 Co 2.44
Co1 0.3235 0.7500 0.0498  6 Hf 2.44-2.57
Co2 0.6765 0.2500 0.9502  6 Hf 2.44-2.57
Sb1 0.2883 0.2500 0.4397  8 Hf 2.93-3.21
Sb2 0.7117 0.7500 0.5603  8 Hf 2.93-3.21

=====

Entry 3:
Material: HfCo4Sb
Method: DFT, PBE-GGA
State: relaxed

space group = F-43m, No. 216
D(E_F) = 1.40 states/eV/atom
calculated total energy = -43.41 eV per formula unit
crystal system = cubic

a b c (Å): 4.9023 4.9023 4.9023
angles (deg): 60.00 60.00 60.00
Closest atoms and distances in Å follow each position.
Positions (direct):
Hf1 0.0000 0.0000 0.0000  12 Co 2.87, 4 Sb 3.00
Co1 0.1241 0.6253 0.6253  6 Co 2.45-2.46
Co2 0.6253 0.1241 0.6253  6 Co 2.45-2.46
Co3 0.6253 0.6253 0.1241  6 Co 2.45-2.46
Co4 0.6253 0.6253 0.6253  6 Co 2.45-2.46
Sb1 0.2500 0.2500 0.2500  12 Co 2.87, 4 Hf 3.00

=====

Entry 4:
Material: Hf2CoSb
Method: DFT, PBE-GGA
State: relaxed

space group = R-3m, No. 166
D(E_F) = 0.80 states/eV/atom
calculated total energy = -32.04 eV per formula unit
crystal system = trigonal

a b c (Å): 3.7710 3.7710 20.2039
angles (deg): 90.00 90.00 120.00
Closest atoms and distances in Å follow each position.
Positions (direct):
Hf1 0.0000 0.0000 0.2322  3 Co 2.55
Hf2 0.0000 0.0000 0.7678  3 Co 2.55
Hf3 0.3333 0.6667 0.4345  3 Co 2.55
Hf4 0.3333 0.6667 0.8989  3 Co 2.55
Hf5 0.6667 0.3333 0.1011  3 Co 2.55
Hf6 0.6667 0.3333 0.5655  3 Co 2.55
Co1 0.0000 0.0000 0.5000  6 Hf 2.55
Co2 0.3333 0.6667 0.1667  6 Hf 2.55
Co3 0.6667 0.3333 0.8333  6 Hf 2.55
Sb1 0.0000 0.0000 0.0000  6 Hf 2.99
Sb2 0.3333 0.6667 0.6667  6 Hf 2.99
Sb3 0.6667 0.3333 0.3333  6 Hf 2.99

=====

> Which value of D(E_F) does entry 1 give?

1.37 states/eV/atom

=====

> Which of these has the highest calculated total energy?

Hf2CoSb

=====

> Which of these has the lowest D(E_F)?

Hf4CoSb

=====

> Which of these has the highest D(E_F)?

HfCo4Sb